Compound: TlNiHg2
Source: Alexandria via LeMat-Bulk
Functional: GGA-PBEsol
Structure: relaxed

As for the polymorph energy (0 for the lowest one): 0.000 eV/atom. Its magnetic moment is 0.0 μB/f.u.

The structure belongs to space group Immm (No. 71); the cell edges are 2.9606, 4.4304 and 12.2724 Å and the angles 90.00°, 90.00° and 90.00°. Symmetry generates all atoms from Tl at (0.0000, 0.0000, 0.0000), Ni at (0.0000, 0.0000, 0.5000) and Hg at (0.0000, 0.5000, 0.1874).